[1]
Here is a relaxed RbBaIn2Ir crystal from Alexandria. Energies are from PBE.

Results
**Crystal system**: tetragonal
**Magnetization**: 0.0 μB/cell
**Formation energy from the elements**: -71 kJ/mol of formula units
**Density of states at the Fermi level**: 0.6435 states/eV/atom

Unit cell a=5.3547 b=5.3547 c=5.9779 alpha=90.00 beta=90.00 gamma=90.00
Closest atoms and distances in Å follow each position.
Fractional coordinates of all 5 atoms:
Rb 0.0000 0.0000 0.0000  4 Ba 3.79, 8 In 4.01
Ba 0.5000 0.5000 0.0000  2 Ir 2.99
In 0.0000 0.5000 0.5000  2 Ir 2.68
In 0.5000 0.0000 0.5000  2 Ir 2.68
Ir 0.5000 0.5000 0.5000  4 In 2.68, 2 Ba 2.99



[2]
Here is a relaxed Ba2In6IrRh crystal from Alexandria. Energies are from PBE.

Results
**Crystal system**: orthorhombic
**Magnetization**: 0.0 μB/cell
**Formation energy from the elements**: -351 kJ/mol of formula units
**Density of states at the Fermi level**: 0.4184 states/eV/atom

Unit cell a=7.3931 b=7.3931 c=7.3931 alpha=120.07 beta=119.91 gamma=90.02
Closest atoms and distances in Å follow each position.
Fractional coordinates of all 10 atoms:
Ba 0.2500 0.2500 0.0000  12 In 3.69-3.70
Ba 0.7500 0.7500 0.0000  12 In 3.69-3.70
In 0.2510 0.2490 0.5000  1 Rh 2.60, 1 Ir 2.62
In 0.2510 0.7510 0.0020  1 Rh 2.60, 1 Ir 2.62
In 0.2510 0.7510 0.5000  1 Rh 2.60, 1 Ir 2.62
In 0.7490 0.2490 0.5000  1 Rh 2.60, 1 Ir 2.62
In 0.7490 0.2490 0.9980  1 Rh 2.60, 1 Ir 2.62
In 0.7490 0.7510 0.5000  1 Rh 2.60, 1 Ir 2.62
Ir 0.0000 0.5000 0.5000  6 In 2.62
Rh 0.5000 0.0000 0.5000  6 In 2.60



Quick rundown of calculated volume, same order as above: 171.4; 285.8 Å³/cell